No. 1
DFT (PBE) results for Pm2Nd6Y5 after structural relaxation.

Cell: 3.6684 11.8425 20.7235 Å, 90.00 90.00 90.00°
Fractional positions:
Nd  0.0000  0.9374  0.9235
Nd  0.5000  0.1757  0.6297
Nd  0.0000  0.5787  0.1357
Nd  0.0000  0.5626  0.4235
Nd  0.0000  0.0787  0.3643
Nd  0.5000  0.3243  0.1297
Nd  0.0000  0.0626  0.0765
Nd  0.5000  0.8243  0.3703
Nd  0.0000  0.4374  0.5765
Nd  0.0000  0.4213  0.8643
Nd  0.5000  0.6757  0.8703
Nd  0.0000  0.9213  0.6357
Y  0.5000  0.6984  0.5578
Y  0.5000  0.8016  0.0578
Y  0.5000  0.5000  0.0000
Y  0.5000  0.4089  0.7222
Y  0.5000  0.3016  0.4422
Y  0.5000  0.5911  0.2778
Y  0.5000  0.0000  0.5000
Y  0.5000  0.9089  0.7778
Y  0.5000  0.1984  0.9422
Y  0.5000  0.0911  0.2222
Pm  0.0000  0.3307  0.2848
Pm  0.0000  0.6693  0.7152
Pm  0.0000  0.8307  0.2152
Pm  0.0000  0.1693  0.7848

Results
N(E_F), states/eV per atom: 1.21
Size of the total moment, μB/cell: 0.0
Energy of formation, meV/atom: 97

---

No. 2
DFT (PBE) results for Pm5Nd3Y2 after structural relaxation.

Cell: 10.1532 10.1177 11.3448 Å, 129.38 129.45 65.07°
Fractional positions:
Nd  0.9743  0.2193  0.7509
Nd  0.7235  0.4684  0.2491
Nd  0.2765  0.5316  0.7509
Nd  0.0257  0.7807  0.2491
Nd  0.2278  0.9778  0.9556
Nd  0.7722  0.0222  0.0444
Pm  0.5247  0.2747  0.5493
Pm  0.9829  0.2329  0.4658
Pm  0.2687  0.5187  0.0374
Pm  0.1360  0.3795  0.2522
Pm  0.6162  0.8727  0.2522
Pm  0.8640  0.6205  0.7478
Pm  0.0171  0.7671  0.5342
Pm  0.4753  0.7253  0.4507
Pm  0.7313  0.4813  0.9626
Pm  0.3838  0.1273  0.7478
Y  0.7793  0.0226  0.7483
Y  0.4690  0.7257  0.7483
Y  0.2207  0.9774  0.2517
Y  0.5310  0.2743  0.2517

Results
N(E_F), states/eV per atom: 1.73
Size of the total moment, μB/cell: 0.0
Energy of formation, meV/atom: 176

---

No. 3
DFT (PBE) results for Pm4Nd7Y after structural relaxation.

Cell: 6.1216 11.8728 6.8416 Å, 83.60 63.42 75.06°
Fractional positions:
Pm  0.6415  0.2225  0.4945
Pm  0.3585  0.7775  0.5055
Pm  0.7617  0.6759  0.8007
Pm  0.2383  0.3241  0.1993
Nd  0.9369  0.3201  0.8060
Nd  0.7873  0.9211  0.5042
Nd  0.0631  0.6799  0.1940
Nd  0.5000  0.0000  0.0000
Nd  0.6303  0.5003  0.2392
Nd  0.2127  0.0789  0.4958
Nd  0.3697  0.4997  0.7608
Y  0.0000  0.0000  0.0000

Results
N(E_F), states/eV per atom: 1.61
E above lowest polymorph, eV per atom: 0.233
Size of the total moment, μB/cell: 0.0
Energy of formation, meV/atom: 243

---

No. 4
DFT (PBE) results for PmNd6Y8 after structural relaxation.

Cell: 9.1693 9.1693 8.7969 Å, 58.59 58.59 60.00°
Fractional positions:
Nd  0.7709  0.4621  0.8702
Nd  0.4621  0.8967  0.8702
Nd  0.8967  0.7709  0.8702
Nd  0.1033  0.2291  0.1298
Nd  0.2291  0.5379  0.1298
Nd  0.5379  0.1033  0.1298
Y  0.7155  0.1119  0.4225
Y  0.7502  0.7155  0.4225
Y  0.5770  0.5770  0.2691
Y  0.8881  0.2498  0.5775
Y  0.2845  0.8881  0.5775
Y  0.2498  0.2845  0.5775
Y  0.1119  0.7502  0.4225
Y  0.4230  0.4230  0.7309
Pm  0.0000  0.0000  0.0000

Results
N(E_F), states/eV per atom: 1.53
Size of the total moment, μB/cell: 0.0
Energy of formation, meV/atom: 119

---

No. 5
DFT (PBE) results for Pm4Nd4Y after structural relaxation.

Cell: 5.1727 8.1765 8.1765 Å, 84.26 71.56 71.56°
Fractional positions:
Nd  0.6667  0.6668  0.9998
Nd  0.6665  0.0002  0.6668
Nd  0.3333  0.3332  0.0002
Nd  0.3335  0.9998  0.3332
Y  0.0000  0.0000  0.0000
Pm  0.9999  0.6667  0.3334
Pm  0.0001  0.3333  0.6666
Pm  0.3334  0.6666  0.6667
Pm  0.6666  0.3334  0.3333

Results
N(E_F), states/eV per atom: 1.53
Size of the total moment, μB/cell: 0.0
Energy of formation, meV/atom: 12

---

No. 6
DFT (PBE) results for PmNd5Y2 after structural relaxation.

Cell: 5.1571 7.2980 14.5971 Å, 90.00 90.00 90.00°
Fractional positions:
Nd  0.0000  0.5004  0.7503
Nd  0.0000  0.4996  0.2497
Nd  0.5000  0.7493  0.1249
Nd  0.5000  0.7507  0.6249
Nd  0.5000  0.2493  0.3751
Nd  0.0000  0.0000  0.0000
Nd  0.5000  0.2507  0.8751
Nd  0.0000  0.5000  0.5000
Nd  0.0000  0.9996  0.2503
Nd  0.0000  0.0004  0.7497
Y  0.5000  0.7497  0.3754
Y  0.5000  0.2497  0.1246
Y  0.5000  0.2503  0.6246
Y  0.5000  0.7503  0.8754
Pm  0.0000  0.0000  0.5000
Pm  0.0000  0.5000  0.0000

Results
N(E_F), states/eV per atom: 1.47
E above lowest polymorph, eV per atom: 0.000
Size of the total moment, μB/cell: 0.0
Energy of formation, meV/atom: 11

---

No. 7
DFT (PBE) results for Pm6NdY4 after structural relaxation.

Cell: 6.7445 6.7445 9.7626 Å, 110.21 110.21 90.00°
Fractional positions:
Y  0.0531  0.6970  0.7501
Y  0.9469  0.9469  0.2499
Y  0.3030  0.3030  0.2499
Y  0.6970  0.0531  0.7501
Pm  0.8643  0.4867  0.3511
Pm  0.5000  0.0000  0.0000
Pm  0.5133  0.5133  0.6489
Pm  0.0000  0.5000  0.0000
Pm  0.1357  0.1357  0.6489
Pm  0.4867  0.8643  0.3511
Nd  0.5000  0.5000  0.0000

Results
N(E_F), states/eV per atom: 1.62
E above lowest polymorph, eV per atom: 0.205
Size of the total moment, μB/cell: 0.0
Energy of formation, meV/atom: 318

---

No. 8
DFT (PBE) results for PmNd3Y after structural relaxation.

Cell: 7.8793 9.3743 9.3744 Å, 90.11 90.00 89.99°
Fractional positions:
Pm  0.1188  0.4005  0.0995
Pm  0.6188  0.0995  0.4005
Pm  0.3812  0.9005  0.5995
Pm  0.8812  0.5995  0.9005
Nd  0.3828  0.3988  0.4014
Nd  0.1156  0.0999  0.4002
Nd  0.6172  0.6012  0.5986
Nd  0.8829  0.1012  0.0985
Nd  0.1172  0.5985  0.6012
Nd  0.8828  0.4015  0.3988
Nd  0.6157  0.4001  0.0998
Nd  0.8844  0.9001  0.5998
Nd  0.3828  0.0985  0.1012
Nd  0.3843  0.5999  0.9002
Nd  0.6172  0.9015  0.8988
Nd  0.1171  0.8988  0.9015
Y  0.7499  0.7515  0.2484
Y  0.2499  0.7485  0.2516
Y  0.2501  0.2485  0.7516
Y  0.7501  0.2515  0.7484

Results
N(E_F), states/eV per atom: 1.28
E above lowest polymorph, eV per atom: 0.085
Size of the total moment, μB/cell: 0.0
Energy of formation, meV/atom: 111

---

No. 9
DFT (PBE) results for PmNd7Y3 after structural relaxation.

Cell: 6.4838 7.8388 7.8388 Å, 81.66 94.34 94.34°
Fractional positions:
Nd  0.7866  0.7627  0.7627
Nd  0.2602  0.5757  0.9245
Nd  0.0000  0.5000  0.5000
Nd  0.7398  0.4243  0.0755
Nd  0.2134  0.2373  0.2373
Nd  0.7398  0.0755  0.4243
Nd  0.2602  0.9245  0.5757
Y  0.0000  0.8306  0.1694
Y  0.0000  0.1694  0.8306
Y  0.5000  0.0000  0.0000
Pm  0.5000  0.5000  0.5000

Results
N(E_F), states/eV per atom: 1.43
E above lowest polymorph, eV per atom: 0.005
Size of the total moment, μB/cell: 0.0
Energy of formation, meV/atom: 222

---

No. 10
DFT (PBE) results for Pm3Nd4Y after structural relaxation.

Cell: 3.5375 6.9439 12.0434 Å, 106.70 98.45 90.00°
Fractional positions:
Nd  0.8761  0.6349  0.7522
Nd  0.7415  0.2405  0.4831
Nd  0.1239  0.3651  0.2478
Nd  0.2585  0.7595  0.5169
Pm  0.1238  0.8835  0.2477
Pm  0.0000  0.5000  0.0000
Pm  0.8762  0.1165  0.7523
Y  0.5000  0.0000  0.0000

Results
N(E_F), states/eV per atom: 1.69
Size of the total moment, μB/cell: 0.0
Energy of formation, meV/atom: 146

---

No. 11
DFT (PBE) results for PmNd3Y after structural relaxation.

Cell: 6.4031 6.9670 9.4484 Å, 108.85 90.00 117.38°
Fractional positions:
Nd  0.0319  0.8988  0.1491
Nd  0.2375  0.2996  0.5493
Nd  0.1661  0.5019  0.2475
Nd  0.8339  0.4981  0.7525
Nd  0.9681  0.1012  0.8509
Nd  0.7625  0.7004  0.4507
Y  0.5638  0.2982  0.0500
Y  0.4362  0.7018  0.9500
Pm  0.6373  0.1012  0.3498
Pm  0.3627  0.8988  0.6502

Results
N(E_F), states/eV per atom: 1.74
E above lowest polymorph, eV per atom: 0.000
Size of the total moment, μB/cell: 0.0
Energy of formation, meV/atom: 26

---

No. 12
DFT (PBE) results for Pm3NdY4 after structural relaxation.

Cell: 6.3507 7.3586 11.5795 Å, 90.00 90.00 90.00°
Fractional positions:
Nd  0.6494  0.6256  0.5000
Nd  0.1494  0.3744  0.0000
Y  0.9821  0.1234  0.7496
Y  0.1467  0.8770  0.5000
Y  0.9821  0.1234  0.2504
Y  0.4821  0.8766  0.2496
Y  0.1466  0.8770  0.0000
Y  0.4821  0.8766  0.7504
Y  0.6467  0.1230  0.0000
Y  0.6466  0.1230  0.5000
Pm  0.4798  0.3738  0.2501
Pm  0.6489  0.6257  0.0000
Pm  0.1489  0.3743  0.5000
Pm  0.4798  0.3738  0.7499
Pm  0.9798  0.6262  0.2499
Pm  0.9798  0.6262  0.7501

Results
N(E_F), states/eV per atom: 1.92
E above lowest polymorph, eV per atom: 0.007
Size of the total moment, μB/cell: 0.0
Energy of formation, meV/atom: 20

---

No. 13
DFT (PBE) results for Pm2Nd2Y7 after structural relaxation.

Cell: 8.8118 10.2461 10.2461 Å, 56.01 140.51 140.51°
Fractional positions:
Nd  0.5000  0.3228  0.6772
Nd  0.5000  0.6772  0.3228
Y  0.0000  0.0000  0.0000
Y  0.2696  0.9192  0.5538
Y  0.7304  0.0808  0.4462
Y  0.2696  0.5538  0.9192
Y  0.3538  0.6046  0.6046
Y  0.7304  0.4462  0.0808
Y  0.6462  0.3954  0.3954
Pm  0.8905  0.1489  0.1489
Pm  0.1095  0.8511  0.8511

Results
N(E_F), states/eV per atom: 1.70
E above lowest polymorph, eV per atom: 0.000
Size of the total moment, μB/cell: 0.0
Energy of formation, meV/atom: 112

---

No. 14
DFT (PBE) results for PmNd4Y15 after structural relaxation.

Cell: 5.0932 5.0932 25.3555 Å, 90.00 90.00 90.00°
Fractional positions:
Y  0.0000  0.5000  0.7000
Y  0.5000  0.0000  0.0998
Y  0.5000  0.5000  0.0000
Y  0.5000  0.0000  0.9002
Y  0.5000  0.0000  0.5000
Y  0.5000  0.0000  0.3000
Y  0.0000  0.5000  0.0998
Y  0.5000  0.5000  0.6000
Y  0.5000  0.5000  0.4000
Y  0.0000  0.5000  0.5000
Y  0.5000  0.0000  0.7000
Y  0.5000  0.5000  0.1999
Y  0.5000  0.5000  0.8001
Y  0.0000  0.5000  0.3000
Y  0.0000  0.5000  0.9002
Nd  0.0000  0.0000  0.6000
Nd  0.0000  0.0000  0.8000
Nd  0.0000  0.0000  0.4000
Nd  0.0000  0.0000  0.2000
Pm  0.0000  0.0000  0.0000

Results
N(E_F), states/eV per atom: 1.47
Size of the total moment, μB/cell: 0.0
Energy of formation, meV/atom: 20

---

No. 15
DFT (PBE) results for Pm4Nd2Y5 after structural relaxation.

Cell: 5.8658 6.4358 10.3155 Å, 94.21 106.52 90.00°
Fractional positions:
Nd  0.4013  0.4592  0.8027
Nd  0.5987  0.5408  0.1973
Pm  0.3056  0.9281  0.6112
Pm  0.0343  0.2700  0.0687
Pm  0.6944  0.0719  0.3888
Pm  0.9657  0.7300  0.9313
Y  0.7862  0.6073  0.5725
Y  0.8693  0.1415  0.7387
Y  0.2138  0.3927  0.4275
Y  0.5000  0.0000  0.0000
Y  0.1307  0.8585  0.2613

Results
N(E_F), states/eV per atom: 1.97
E above lowest polymorph, eV per atom: 0.000
Size of the total moment, μB/cell: 0.0
Energy of formation, meV/atom: 98

---

No. 16
DFT (PBE) results for PmNd8Y4 after structural relaxation.

Cell: 11.3252 11.3253 7.9437 Å, 90.00 135.47 120.00°
Fractional positions:
Nd  0.9898  0.7533  0.2264
Nd  0.0102  0.2467  0.7736
Nd  0.4731  0.2366  0.2263
Nd  0.0102  0.7634  0.7736
Nd  0.4767  0.2384  0.7151
Nd  0.5233  0.7616  0.2849
Nd  0.9898  0.2366  0.2264
Nd  0.5269  0.7634  0.7737
Y  0.5000  0.0000  0.0000
Y  0.0000  0.0000  0.0000
Y  0.0000  0.5000  0.0000
Y  0.5000  0.5000  0.0000
Pm  0.0000  0.5000  0.5000

Results
N(E_F), states/eV per atom: 1.80
Size of the total moment, μB/cell: 0.0
Energy of formation, meV/atom: 485

---

No. 17
DFT (PBE) results for PmNd3Y4 after structural relaxation.

Cell: 3.4819 9.0293 9.0293 Å, 81.44 78.88 78.88°
Fractional positions:
Y  0.6341  0.1148  0.6170
Y  0.6341  0.6170  0.1148
Y  0.3659  0.8852  0.3830
Y  0.3659  0.3830  0.8852
Nd  0.0000  0.5000  0.5000
Nd  0.7584  0.2416  0.2416
Nd  0.2416  0.7584  0.7584
Pm  0.5000  0.0000  0.0000

Results
N(E_F), states/eV per atom: 1.72
E above lowest polymorph, eV per atom: 0.109
Size of the total moment, μB/cell: 0.0
Energy of formation, meV/atom: 130

---

No. 18
DFT (PBE) results for Pm2NdY6 after structural relaxation.

Cell: 6.1176 10.1896 10.1896 Å, 70.10 84.36 84.36°
Fractional positions:
Y  0.9827  0.4130  0.6840
Y  0.4827  0.6840  0.4130
Y  0.1844  0.9834  0.2546
Y  0.3156  0.7454  0.0166
Y  0.0173  0.5870  0.3160
Y  0.8488  0.6474  0.9208
Y  0.3488  0.9208  0.6474
Y  0.6844  0.2546  0.9834
Y  0.6512  0.0792  0.3526
Y  0.5173  0.3160  0.5870
Y  0.8156  0.0166  0.7454
Y  0.1512  0.3526  0.0792
Pm  0.4156  0.5650  0.7680
Pm  0.5844  0.4350  0.2320
Pm  0.0844  0.2320  0.4350
Pm  0.9156  0.7680  0.5650
Nd  0.7500  0.8975  0.1025
Nd  0.2500  0.1025  0.8975

Results
N(E_F), states/eV per atom: 1.51
Size of the total moment, μB/cell: 0.0
Energy of formation, meV/atom: 96